1.
# CsTiH2S, relaxed, DFT GGA-PBE
data_CsTiH2S
_symmetry_space_group_name_H-M 'P 4/m m m'
_symmetry_Int_Tables_number 123
_symmetry_space_group_name_Hall '-P 4 2'
_cell_length_a 4.088
_cell_length_b 4.088
_cell_length_c 6.581
_cell_angle_alpha 90.00
_cell_angle_beta 90.00
_cell_angle_gamma 90.00
loop_
_atom_site_label
_atom_site_type_symbol
_atom_site_fract_x
_atom_site_fract_y
_atom_site_fract_z
Cs1 Cs 0.000 0.000 0.000
Ti1 Ti 0.500 0.500 0.000
H1 H 0.000 0.500 0.500
S1 S 0.000 0.000 0.500
# VASP energy = -2.57 eV/atom
# magnetization = 3.41 μB/f.u.
# crystal system = tetragonal

***

2.
# DyY3Er2Tm6, relaxed, DFT GGA-PBE
data_DyY3Er2Tm6
_symmetry_space_group_name_H-M 'C 1 2/m 1'
_symmetry_Int_Tables_number 12
_symmetry_space_group_name_Hall '-C 2y'
_cell_length_a 6.093
_cell_length_b 10.538
_cell_length_c 11.659
_cell_angle_alpha 90.00
_cell_angle_beta 100.01
_cell_angle_gamma 90.00
loop_
_atom_site_label
_atom_site_type_symbol
_atom_site_fract_x
_atom_site_fract_y
_atom_site_fract_z
Dy1 Dy 0.000 0.000 0.000
Y1 Y 0.000 0.167 0.500
Y2 Y 0.000 0.500 0.500
Er1 Er 0.000 0.333 0.000
Tm1 Tm 0.250 0.000 0.752
Tm2 Tm 0.250 0.167 0.248
# magnetization = 0.00 μB/f.u.
# crystal system = monoclinic
# energy of formation = 0.03 eV per atom

***

3.
# Ce2PuGe4Pd3, relaxed, DFT GGA-PBE
data_Ce2PuGe4Pd3
_symmetry_space_group_name_H-M 'P -4 m 2'
_symmetry_Int_Tables_number 115
_symmetry_space_group_name_Hall 'P -4 -2'
_cell_length_a 4.336
_cell_length_b 4.336
_cell_length_c 11.159
_cell_angle_alpha 90.00
_cell_angle_beta 90.00
_cell_angle_gamma 90.00
loop_
_atom_site_label
_atom_site_type_symbol
_atom_site_fract_x
_atom_site_fract_y
_atom_site_fract_z
Ce1 Ce 0.000 0.500 0.236
Pu1 Pu 0.000 0.000 0.500
Ge1 Ge 0.000 0.000 0.000
Ge2 Ge 0.000 0.500 0.666
Ge3 Ge 0.500 0.500 0.000
Pd1 Pd 0.000 0.500 0.885
Pd2 Pd 0.500 0.500 0.500
# magnetization = 6.51 μB/f.u.
# crystal system = tetragonal
# energy of formation = -0.63 eV per atom

***

4.
# GeAsIO2, relaxed, DFT GGA-PBE
data_GeAsIO2
_symmetry_space_group_name_H-M 'P 4/m m m'
_symmetry_Int_Tables_number 123
_symmetry_space_group_name_Hall '-P 4 2'
_cell_length_a 3.819
_cell_length_b 3.819
_cell_length_c 7.806
_cell_angle_alpha 90.00
_cell_angle_beta 90.00
_cell_angle_gamma 90.00
loop_
_atom_site_label
_atom_site_type_symbol
_atom_site_fract_x
_atom_site_fract_y
_atom_site_fract_z
Ge1 Ge 0.000 0.000 0.000
As1 As 0.500 0.500 0.500
I1 I 0.000 0.000 0.500
O1 O 0.000 0.500 0.000
# magnetization = 0.09 μB/f.u.
# formation energy (no corrections) = -4.97 kJ per mole of atoms
# crystal system = tetragonal
# offset from the most stable computed form = 0.0 meV per atom

***

5.
# Ca4La2Bi3H2, relaxed, DFT GGA-PBE
data_Ca4La2Bi3H2
_symmetry_space_group_name_H-M 'I 4/m m m'
_symmetry_Int_Tables_number 139
_symmetry_space_group_name_Hall '-I 4 2'
_cell_length_a 4.851
_cell_length_b 4.851
_cell_length_c 25.857
_cell_angle_alpha 90.00
_cell_angle_beta 90.00
_cell_angle_gamma 90.00
loop_
_atom_site_label
_atom_site_type_symbol
_atom_site_fract_x
_atom_site_fract_y
_atom_site_fract_z
Ca1 Ca 0.000 0.500 0.082
La1 La 0.000 0.000 0.199
Bi1 Bi 0.000 0.000 0.328
Bi2 Bi 0.000 0.000 0.500
H1 H 0.000 0.000 0.100
# VASP energy = -4.03 eV/atom
# magnetization = 0.00 μB/f.u.
# crystal system = tetragonal

***

6.
# Pu3Bi2Pd, relaxed, DFT GGA-PBE
data_Pu3Bi2Pd
_symmetry_space_group_name_H-M 'P n m a'
_symmetry_Int_Tables_number 62
_symmetry_space_group_name_Hall '-P 2ac 2n'
_cell_length_a 13.311
_cell_length_b 4.730
_cell_length_c 10.032
_cell_angle_alpha 90.00
_cell_angle_beta 90.00
_cell_angle_gamma 90.00
loop_
_atom_site_label
_atom_site_type_symbol
_atom_site_fract_x
_atom_site_fract_y
_atom_site_fract_z
Pu1 Pu 0.072 0.250 0.068
Pu2 Pu 0.139 0.750 0.547
Pu3 Pu 0.207 0.750 0.236
Bi1 Bi 0.031 0.250 0.724
Bi2 Bi 0.200 0.750 0.914
Pd1 Pd 0.080 0.250 0.371
# magnetization = 6.15 μB/f.u.
# crystal system = orthorhombic
# energy of formation = -0.34 eV per atom

***

7.
# LiMg3Sn3, relaxed, DFT GGA-PBE
data_LiMg3Sn3
_symmetry_space_group_name_H-M 'C 1 2/m 1'
_symmetry_Int_Tables_number 12
_symmetry_space_group_name_Hall '-C 2y'
_cell_length_a 8.979
_cell_length_b 14.210
_cell_length_c 6.004
_cell_angle_alpha 90.00
_cell_angle_beta 117.03
_cell_angle_gamma 90.00
loop_
_atom_site_label
_atom_site_type_symbol
_atom_site_fract_x
_atom_site_fract_y
_atom_site_fract_z
Li1 Li 0.130 0.000 0.277
Mg1 Mg 0.000 0.158 0.500
Mg2 Mg 0.000 0.291 0.000
Mg3 Mg 0.035 0.500 0.284
Sn1 Sn 0.192 0.337 0.709
Sn2 Sn 0.201 0.000 0.849
# magnetization = 0.00 μB/f.u.
# crystal system = monoclinic
# offset from the most stable computed form = 20.7 meV per atom
# energy of formation = -0.10 eV per atom

***

8.
# MgNi3H, relaxed, DFT GGA-PBE
data_MgNi3H
_symmetry_space_group_name_H-M 'P 1 21/c 1'
_symmetry_Int_Tables_number 14
_symmetry_space_group_name_Hall '-P 2ybc'
_cell_length_a 6.391
_cell_length_b 4.993
_cell_length_c 8.667
_cell_angle_alpha 90.00
_cell_angle_beta 130.26
_cell_angle_gamma 90.00
loop_
_atom_site_label
_atom_site_type_symbol
_atom_site_fract_x
_atom_site_fract_y
_atom_site_fract_z
Mg1 Mg 0.222 0.141 0.339
Ni1 Ni 0.029 0.747 0.534
Ni2 Ni 0.297 0.645 0.424
Ni3 Ni 0.454 0.019 0.727
H1 H 0.341 0.737 0.767
# magnetization = 0.00 μB/f.u.
# crystal system = monoclinic
# offset from the most stable computed form = 148.1 meV per atom

***

9.
# SrIF2, relaxed, DFT GGA-PBE
data_SrIF2
_symmetry_space_group_name_H-M 'R -3 m'
_symmetry_Int_Tables_number 166
_symmetry_space_group_name_Hall '-R 3 2"'
_cell_length_a 3.7713
_cell_length_b 3.7713
_cell_length_c 29.9285
_cell_angle_alpha 90.00
_cell_angle_beta 90.00
_cell_angle_gamma 120.00
loop_
_atom_site_label
_atom_site_type_symbol
_atom_site_fract_x
_atom_site_fract_y
_atom_site_fract_z
Sr1 Sr 0.0000 0.0000 0.0000
I1 I 0.0000 0.0000 0.5000
F1 F 0.0000 0.0000 0.3683
# magnetization = 0.00 μB/f.u.
# formation energy (no corrections) = -258.75 kJ per mole of atoms
# crystal system = trigonal
# offset from the most stable computed form = 0.0 meV per atom

***

10.
# Tb2ZrZn3, relaxed, DFT GGA-PBE
data_Tb2ZrZn3
_symmetry_space_group_name_H-M 'P 4/m m m'
_symmetry_Int_Tables_number 123
_symmetry_space_group_name_Hall '-P 4 2'
_cell_length_a 3.497
_cell_length_b 3.497
_cell_length_c 10.510
_cell_angle_alpha 90.00
_cell_angle_beta 90.00
_cell_angle_gamma 90.00
loop_
_atom_site_label
_atom_site_type_symbol
_atom_site_fract_x
_atom_site_fract_y
_atom_site_fract_z
Tb1 Tb 0.000 0.000 0.175
Zr1 Zr 0.000 0.000 0.500
Zn1 Zn 0.500 0.500 0.000
Zn2 Zn 0.500 0.500 0.354
# magnetization = 0.00 μB/f.u.
# crystal system = tetragonal
# offset from the most stable computed form = 0.0 meV per atom
# energy of formation = -0.29 eV per atom

***

11.
# Ce2PuCd, relaxed, DFT GGA-PBE
data_Ce2PuCd
_symmetry_space_group_name_H-M 'P 4/m m m'
_symmetry_Int_Tables_number 123
_symmetry_space_group_name_Hall '-P 4 2'
_cell_length_a 5.495
_cell_length_b 5.495
_cell_length_c 3.470
_cell_angle_alpha 90.00
_cell_angle_beta 90.00
_cell_angle_gamma 90.00
loop_
_atom_site_label
_atom_site_type_symbol
_atom_site_fract_x
_atom_site_fract_y
_atom_site_fract_z
Ce1 Ce 0.000 0.500 0.000
Pu1 Pu 0.000 0.000 0.500
Cd1 Cd 0.500 0.500 0.500
# magnetization = 6.97 μB/f.u.
# crystal system = tetragonal
# offset from the most stable computed form = 0.0 meV per atom
# energy of formation = -0.04 eV per atom

***

12.
# Ac4Tl2N, relaxed, DFT GGA-PBE
data_Ac4Tl2N
_symmetry_space_group_name_H-M 'I 4/m m m'
_symmetry_Int_Tables_number 139
_symmetry_space_group_name_Hall '-I 4 2'
_cell_length_a 5.261
_cell_length_b 5.261
_cell_length_c 17.380
_cell_angle_alpha 90.00
_cell_angle_beta 90.00
_cell_angle_gamma 90.00
loop_
_atom_site_label
_atom_site_type_symbol
_atom_site_fract_x
_atom_site_fract_y
_atom_site_fract_z
Ac1 Ac 0.000 0.000 0.168
Ac2 Ac 0.000 0.500 0.000
Tl1 Tl 0.000 0.000 0.363
N1 N 0.000 0.000 0.000
# magnetization = 0.00 μB/f.u.
# formation energy (no corrections) = -49.23 kJ per mole of atoms
# crystal system = tetragonal
# offset from the most stable computed form = 32.5 meV per atom

***

13.
# BeSbAu, relaxed, DFT GGA-PBE
data_BeSbAu
_symmetry_space_group_name_H-M 'P -1'
_symmetry_Int_Tables_number 2
_symmetry_space_group_name_Hall '-P 1'
_cell_length_a 3.030
_cell_length_b 3.131
_cell_length_c 12.082
_cell_angle_alpha 97.12
_cell_angle_beta 97.20
_cell_angle_gamma 90.01
loop_
_atom_site_label
_atom_site_type_symbol
_atom_site_fract_x
_atom_site_fract_y
_atom_site_fract_z
Be1 Be 0.224 0.226 0.448
Sb1 Sb 0.429 0.924 0.861
Au1 Au 0.324 0.320 0.648
# magnetization = 0.00 μB/f.u.
# formation energy (no corrections) = -4.19 kJ per mole of atoms
# crystal system = triclinic

***

14.
# Ca3Si2Rh, relaxed, DFT GGA-PBE
data_Ca3Si2Rh
_symmetry_space_group_name_H-M 'P 1 21/c 1'
_symmetry_Int_Tables_number 14
_symmetry_space_group_name_Hall '-P 2ybc'
_cell_length_a 6.471
_cell_length_b 9.008
_cell_length_c 10.097
_cell_angle_alpha 90.00
_cell_angle_beta 99.64
_cell_angle_gamma 90.00
loop_
_atom_site_label
_atom_site_type_symbol
_atom_site_fract_x
_atom_site_fract_y
_atom_site_fract_z
Ca1 Ca 0.107 0.062 0.343
Ca2 Ca 0.233 0.096 0.960
Ca3 Ca 0.389 0.687 0.202
Si1 Si 0.147 0.742 0.429
Si2 Si 0.494 0.116 0.564
Rh1 Rh 0.198 0.175 0.664
# magnetization = 0.00 μB/f.u.
# formation energy (no corrections) = -47.01 kJ per mole of atoms
# crystal system = monoclinic

***

15.
# Mo2PtSe, relaxed, DFT GGA-PBE
data_Mo2PtSe
_symmetry_space_group_name_H-M 'I m m m'
_symmetry_Int_Tables_number 71
_symmetry_space_group_name_Hall '-I 2 2'
_cell_length_a 3.177
_cell_length_b 4.501
_cell_length_c 8.905
_cell_angle_alpha 90.00
_cell_angle_beta 90.00
_cell_angle_gamma 90.00
loop_
_atom_site_label
_atom_site_type_symbol
_atom_site_fract_x
_atom_site_fract_y
_atom_site_fract_z
Mo1 Mo 0.000 0.000 0.224
Pt1 Pt 0.000 0.500 0.000
Se1 Se 0.000 0.500 0.500
# magnetization = 0.00 μB/f.u.
# formation energy (no corrections) = 15.75 kJ per mole of atoms
# crystal system = orthorhombic

***

16.
# CeNb4O8, relaxed, DFT GGA-PBE
data_CeNb4O8
_symmetry_space_group_name_H-M 'R -3 m'
_symmetry_Int_Tables_number 166
_symmetry_space_group_name_Hall '-R 3 2"'
_cell_length_a 6.0136
_cell_length_b 6.0136
_cell_length_c 17.3000
_cell_angle_alpha 90.00
_cell_angle_beta 90.00
_cell_angle_gamma 120.00
loop_
_atom_site_label
_atom_site_type_symbol
_atom_site_fract_x
_atom_site_fract_y
_atom_site_fract_z
Ce1 Ce 0.0000 0.0000 0.0000
Nb1 Nb 0.0000 0.0000 0.5000
Nb2 Nb 0.0000 0.5000 0.5000
O1 O 0.0000 0.0000 0.2343
O2 O 0.0035 0.5018 0.2425
# magnetization = 0.13 μB/f.u.
# formation energy (no corrections) = -230.60 kJ per mole of atoms
# crystal system = trigonal

***

17.
# In2SiF, relaxed, DFT GGA-PBE
data_In2SiF
_symmetry_space_group_name_H-M 'F m -3 m'
_symmetry_Int_Tables_number 225
_symmetry_space_group_name_Hall '-F 4 2 3'
_cell_length_a 6.698
_cell_length_b 6.698
_cell_length_c 6.698
_cell_angle_alpha 90.00
_cell_angle_beta 90.00
_cell_angle_gamma 90.00
loop_
_atom_site_label
_atom_site_type_symbol
_atom_site_fract_x
_atom_site_fract_y
_atom_site_fract_z
In1 In 0.250 0.250 0.250
Si1 Si 0.000 0.000 0.000
F1 F 0.000 0.000 0.500
# magnetization = 0.00 μB/f.u.
# formation energy (no corrections) = -49.35 kJ per mole of atoms
# crystal system = cubic
# offset from the most stable computed form = 0.0 meV per atom

***

18.
# HfNbZn, relaxed, DFT GGA-PBE
data_HfNbZn
_symmetry_space_group_name_H-M 'P 3 m 1'
_symmetry_Int_Tables_number 156
_symmetry_space_group_name_Hall 'P 3 -2"'
_cell_length_a 4.8214
_cell_length_b 4.8214
_cell_length_c 2.7571
_cell_angle_alpha 90.00
_cell_angle_beta 90.00
_cell_angle_gamma 120.00
loop_
_atom_site_label
_atom_site_type_symbol
_atom_site_fract_x
_atom_site_fract_y
_atom_site_fract_z
Hf1 Hf 0.0000 0.0000 0.0000
Nb1 Nb 0.3333 0.6667 0.4279
Zn1 Zn 0.6667 0.3333 0.6492
# magnetization = 0.10 μB/f.u.
# crystal system = trigonal
# offset from the most stable computed form = 222.5 meV per atom
# energy of formation = 0.15 eV per atom

***

19.
# TmIn7Cu5, relaxed, DFT GGA-PBE
data_TmIn7Cu5
_symmetry_space_group_name_H-M 'I m m 2'
_symmetry_Int_Tables_number 44
_symmetry_space_group_name_Hall 'I 2 -2'
_cell_length_a 5.569
_cell_length_b 9.497
_cell_length_c 9.432
_cell_angle_alpha 90.00
_cell_angle_beta 90.00
_cell_angle_gamma 90.00
loop_
_atom_site_label
_atom_site_type_symbol
_atom_site_fract_x
_atom_site_fract_y
_atom_site_fract_z
Tm1 Tm 0.000 0.000 0.000
In1 In 0.000 0.000 0.347
In2 In 0.000 0.000 0.665
In3 In 0.000 0.313 0.486
In4 In 0.000 0.336 0.013
In5 In 0.000 0.500 0.732
Cu1 Cu 0.000 0.500 0.261
Cu2 Cu 0.243 0.244 0.750
# magnetization = 0.00 μB/f.u.
# crystal system = orthorhombic
# energy of formation = -0.06 eV per atom

***

20.
# Tb3SbP, relaxed, DFT GGA-PBE
data_Tb3SbP
_symmetry_space_group_name_H-M 'P n m a'
_symmetry_Int_Tables_number 62
_symmetry_space_group_name_Hall '-P 2ac 2n'
_cell_length_a 8.394
_cell_length_b 4.200
_cell_length_c 14.992
_cell_angle_alpha 90.00
_cell_angle_beta 90.00
_cell_angle_gamma 90.00
loop_
_atom_site_label
_atom_site_type_symbol
_atom_site_fract_x
_atom_site_fract_y
_atom_site_fract_z
Tb1 Tb 0.020 0.250 0.108
Tb2 Tb 0.159 0.250 0.525
Tb3 Tb 0.183 0.750 0.286
Sb1 Sb 0.099 0.750 0.683
P1 P 0.179 0.250 0.947
# magnetization = 0.00 μB/f.u.
# formation energy (no corrections) = -109.42 kJ per mole of atoms
# crystal system = orthorhombic

***

21.
# AsIr3, relaxed, DFT GGA-PBE
data_AsIr3
_symmetry_space_group_name_H-M 'P -6 m 2'
_symmetry_Int_Tables_number 187
_symmetry_space_group_name_Hall 'P -6 2'
_cell_length_a 2.8151
_cell_length_b 2.8151
_cell_length_c 8.7731
_cell_angle_alpha 90.00
_cell_angle_beta 90.00
_cell_angle_gamma 120.00
loop_
_atom_site_label
_atom_site_type_symbol
_atom_site_fract_x
_atom_site_fract_y
_atom_site_fract_z
As1 As 0.0000 0.0000 0.0000
Ir1 Ir 0.0000 0.0000 0.5000
Ir2 Ir 0.6667 0.3333 0.2475
# magnetization = 0.00 μB/f.u.
# crystal system = hexagonal
# offset from the most stable computed form = 189.2 meV per atom
# energy of formation = 0.27 eV per atom

***

| no. | D(E_F) (states/eV/atom) |
| --- | --- |
| 1 | 0.71 |
| 2 | 1.46 |
| 3 | 2.19 |
| 4 | 0.49 |
| 5 | 0.31 |
| 6 | 4.79 |
| 7 | 0.24 |
| 8 | 0.84 |
| 9 | 0.48 |
| 10 | 1.30 |
| 11 | 2.40 |
| 12 | 0.83 |
| 13 | 0.36 |
| 14 | 0.32 |
| 15 | 0.63 |
| 16 | 0.53 |
| 17 | 0.40 |
| 18 | 1.38 |
| 19 | 0.30 |
| 20 | 0.65 |
| 21 | 0.91 |